# 1
A plane-wave DFT calculation with PBE was carried out for AgI2Cl4 after structural relaxation.

Results
The uncorrected formation energy comes out at -202 meV/atom. As for the space-group type: No. 1.

Lattice parameters (Å, degrees): 3.8507 8.5432 8.5577 94.67 98.78 98.80
Fractional positions:
Ag 0.0000 0.0000 0.0000
I 0.0032 0.6217 0.2717
I 0.0038 0.2714 0.6242
Cl 0.1047 0.5713 0.5724
Cl 0.5910 0.1291 0.1366
Cl 0.9106 0.6804 0.9916
Cl 0.9107 0.9905 0.6843

# 2
A plane-wave DFT calculation with PBE was carried out for AgI2Cl after structural relaxation.

Results
The uncorrected formation energy comes out at 315 meV/atom. As for the space-group type: No. 225.

Lattice parameters (Å, degrees): 5.3526 5.3526 5.3526 60.00 60.00 60.00
Fractional positions:
Ag 0.0000 0.0000 0.0000
I 0.2500 0.2500 0.2500
I 0.7500 0.7500 0.7500
Cl 0.5000 0.5000 0.5000

# 3
A plane-wave DFT calculation with PBE was carried out for Ag3ICl after structural relaxation.

Results
The uncorrected formation energy comes out at 391 meV/atom. As for the space-group type: No. 221.

Lattice parameters (Å, degrees): 5.5154 5.5154 5.5154 90.00 90.00 90.00
Fractional positions:
Ag 0.0000 0.0000 0.5000
Ag 0.0000 0.5000 0.0000
Ag 0.5000 0.0000 0.0000
I 0.0000 0.0000 0.0000
Cl 0.5000 0.5000 0.5000

# 4
A plane-wave DFT calculation with PBE was carried out for Ag2I3Cl6 after structural relaxation.

Results
The uncorrected formation energy comes out at -254 meV/atom. As for the space-group type: No. 15.

Lattice parameters (Å, degrees): 7.3921 7.3921 16.4866 104.66 104.66 57.78
Fractional positions:
Ag 0.1628 0.6659 0.5008
Ag 0.3341 0.8372 0.9992
Ag 0.6659 0.1628 0.0008
Ag 0.8372 0.3341 0.4992
I 0.0840 0.2423 0.2511
I 0.2423 0.0840 0.7511
I 0.4361 0.5639 0.2500
I 0.5639 0.4361 0.7500
I 0.7577 0.9160 0.2489
I 0.9160 0.7577 0.7489
Cl 0.0350 0.1718 0.0886
Cl 0.1269 0.3138 0.4123
Cl 0.1718 0.0350 0.5886
Cl 0.3138 0.1269 0.9123
Cl 0.3946 0.5267 0.0890
Cl 0.4733 0.6054 0.4110
Cl 0.5267 0.3946 0.5890
Cl 0.6054 0.4733 0.9110
Cl 0.6862 0.8731 0.0877
Cl 0.8282 0.9650 0.4114
Cl 0.8731 0.6862 0.5877
Cl 0.9650 0.8282 0.9114

# 5
A plane-wave DFT calculation with PBE was carried out for Ag2ICl2 after structural relaxation.

Results
The uncorrected formation energy comes out at -331 meV/atom. As for the space-group type: No. 12.

Lattice parameters (Å, degrees): 7.1124 7.1124 11.9451 114.84 114.84 31.82
Fractional positions:
Ag 0.1708 0.1708 0.3352
Ag 0.1719 0.1719 0.8356
Ag 0.8281 0.8281 0.1644
Ag 0.8292 0.8292 0.6648
I 0.4993 0.4993 0.2505
I 0.5007 0.5007 0.7495
Cl 0.1920 0.1920 0.0959
Cl 0.1932 0.1932 0.5968
Cl 0.8068 0.8068 0.4032
Cl 0.8080 0.8080 0.9041

# 6
A plane-wave DFT calculation with PBE was carried out for AgI3Cl9 after structural relaxation.

Results
The uncorrected formation energy comes out at -191 meV/atom. As for the space-group type: No. 9.

Lattice parameters (Å, degrees): 12.0441 12.0441 8.1486 105.78 105.78 62.21
Fractional positions:
Ag 0.2289 0.7711 0.5000
Ag 0.7711 0.2289 0.0000
I 0.2819 0.2987 0.2432
I 0.2987 0.2819 0.7432
I 0.5709 0.5871 0.2876
I 0.5871 0.5709 0.7876
I 0.8184 0.8792 0.2041
I 0.8792 0.8184 0.7041
Cl 0.0648 0.7960 0.2253
Cl 0.1095 0.7966 0.7319
Cl 0.1190 0.2361 0.5682
Cl 0.1568 0.4256 0.0027
Cl 0.2361 0.1190 0.0682
Cl 0.3295 0.4812 0.4282
Cl 0.3627 0.7811 0.3110
Cl 0.3978 0.7840 0.7648
Cl 0.4256 0.1568 0.5027
Cl 0.4812 0.3295 0.9282
Cl 0.5871 0.9592 0.1719
Cl 0.6619 0.8492 0.6935
Cl 0.7811 0.3627 0.8110
Cl 0.7840 0.3978 0.2648
Cl 0.7960 0.0648 0.7253
Cl 0.7966 0.1095 0.2319
Cl 0.8492 0.6619 0.1935
Cl 0.9592 0.5871 0.6719

Calculated density across the listed records, respectively: 3.1 6.1 4.8 3.7 4.8 2.7 g cm⁻³.